MgFe3F | PBE+U | optimized geometry

## Properties
The space group is Pm-3m (221). As for the relative energy among the computed polymorphs: 0 meV/atom.

a = 4.3464 Å, b = 4.3464 Å, c = 4.3464 Å
α = 90.00°, β = 90.00°, γ = 90.00°
Last column: nearest neighbours and their distance in Å.
Sites, in units of the cell vectors:
1 Mg 0.0000 0.0000 0.0000  12 Fe 3.07
2 Fe 0.0000 0.5000 0.5000  2 F 2.17
3 Fe 0.5000 0.0000 0.5000  2 F 2.17
4 Fe 0.5000 0.5000 0.0000  2 F 2.17
5 F 0.5000 0.5000 0.5000  6 Fe 2.17